[1]
Below is LiCaTa2 after structural relaxation, with properties calculated at the PBE level.

- SG = C2/m
- E (eV per atom) = -6.33
- polymorph energy (0 for the lowest one) (eV/atom) = 0.1678
- total magnetic moment (μB per atom) = 0.00

Geometry as POSCAR:
```
LiCaTa2
1.0
2.696 -5.569 0.000
2.696 5.569 0.000
-1.198 0.000 2.743
Li Ca Ta
1 1 2
Cartesian
0.000 0.000 0.000
2.696 0.000 0.000
0.749 2.784 1.372
0.749 -2.784 1.372
```



[2]
Below is LiCaTa2 after structural relaxation, with properties calculated at the PBE level.

- SG = Cmm2
- E (eV per atom) = -6.49
- polymorph energy (0 for the lowest one) (eV/atom) = 0.0079
- total magnetic moment (μB per atom) = 0.00

Geometry as POSCAR:
```
LiCaTa2
1.0
1.727 -2.443 0.000
1.727 2.443 0.000
0.000 0.000 10.261
Li Ca Ta
1 1 2
Cartesian
0.000 0.000 0.000
1.727 0.000 7.309
0.000 0.000 4.554
1.727 0.000 2.451
```



[3]
Below is LiCaTa2 after structural relaxation, with properties calculated at the PBE level.

- SG = P4mm
- E (eV per atom) = -6.49
- polymorph energy (0 for the lowest one) (eV/atom) = 0.0000
- total magnetic moment (μB per atom) = 0.00

Geometry as POSCAR:
```
LiCaTa2
1.0
3.515 0.000 0.000
0.000 3.515 0.000
0.000 0.000 7.372
Li Ca Ta
1 1 2
Cartesian
0.000 0.000 0.000
1.757 1.757 5.018
0.000 0.000 2.817
1.757 1.757 1.708
```



Looking at ΔE_f for the records above, in order, we have 224; 162; 159 kJ/mol of formula units.